# SmEr2AlN

A geometry-optimized SmEr2AlN structure (PBE, Alexandria via LeMat-Bulk).

Computed properties:
Crystal system = tetragonal
DFT total energy = -30.4 eV per cell

The structure in CIF format:
```
data_SmEr2AlN
_cell_length_a 4.727
_cell_length_b 4.727
_cell_length_c 4.908
_cell_angle_alpha 90.00
_cell_angle_beta 90.00
_cell_angle_gamma 90.00
_symmetry_space_group_name_H-M 'P 4/m m m'
_symmetry_Int_Tables_number 123
_symmetry_space_group_name_Hall '-P 4 2'
loop_
_atom_site_label
_atom_site_type_symbol
_atom_site_fract_x
_atom_site_fract_y
_atom_site_fract_z
Sm1 Sm 0.000 0.000 0.000
Er1 Er 0.000 0.500 0.500
Al1 Al 0.500 0.500 0.000
N1 N 0.000 0.000 0.500
```

# Cs2Cd12Ag7

A geometry-optimized Cs2Cd12Ag7 structure (PBE, Alexandria via LeMat-Bulk).

Computed properties:
Crystal system = hexagonal
DFT total energy = -32.9 eV per cell

The structure in CIF format:
```
data_Cs2Cd12Ag7
_cell_length_a 11.1413
_cell_length_b 11.1413
_cell_length_c 4.8603
_cell_angle_alpha 90.00
_cell_angle_beta 90.00
_cell_angle_gamma 120.00
_symmetry_space_group_name_H-M 'P -6'
_symmetry_Int_Tables_number 174
loop_
_symmetry_equiv_pos_as_xyz
'x,y,z'
'-x+y,-x,-z'
'-y,x-y,z'
'x,y,-z'
'-x+y,-x,z'
'-y,x-y,-z'
loop_
_atom_site_label
_atom_site_type_symbol
_atom_site_fract_x
_atom_site_fract_y
_atom_site_fract_z
Cs1 Cs 0.0000 0.0000 0.0000
Cs2 Cs 0.3333 0.6667 0.5000
Cd1 Cd 0.0029 0.7184 0.5000
Cd2 Cd 0.1653 0.3779 0.0000
Cd3 Cd 0.3763 0.1533 0.0000
Cd4 Cd 0.5569 0.1487 0.5000
Ag1 Ag 0.0055 0.2609 0.5000
Ag2 Ag 0.4544 0.4514 0.0000
Ag3 Ag 0.6667 0.3333 0.0000
```

# LuPuZnCu

A geometry-optimized LuPuZnCu structure (PBE, Alexandria via LeMat-Bulk).

Computed properties:
Crystal system = cubic
DFT total energy = -98.5 eV per cell

The structure in CIF format:
```
data_LuPuZnCu
_cell_length_a 6.981
_cell_length_b 6.981
_cell_length_c 6.981
_cell_angle_alpha 90.00
_cell_angle_beta 90.00
_cell_angle_gamma 90.00
_symmetry_space_group_name_H-M 'F -4 3 m'
_symmetry_Int_Tables_number 216
_symmetry_space_group_name_Hall 'F -4 2 3'
loop_
_atom_site_label
_atom_site_type_symbol
_atom_site_fract_x
_atom_site_fract_y
_atom_site_fract_z
Lu1 Lu 0.000 0.000 0.000
Pu1 Pu 0.000 0.000 0.500
Zn1 Zn 0.250 0.250 0.250
Cu1 Cu 0.250 0.250 0.750
```